# KNa8Sn2, optimized geometry, DFT PBE
data_KNa8Sn2
_chemical_formula_sum 'K2 Na16 Sn4'
_cell_length_a 10.122
_cell_length_b 14.213
_cell_length_c 6.159
_cell_angle_alpha 90.00
_cell_angle_beta 104.77
_cell_angle_gamma 90.00
_space_group_name_H-M_alt 'C 1 2/m 1'
_space_group_IT_number 12
_space_group_name_Hall '-C 2y'
loop_
_atom_site_label
_atom_site_fract_x
_atom_site_fract_y
_atom_site_fract_z
_atom_site_occupancy
K1 0.000 0.000 0.000 1
Na1 0.000 0.270 0.000 1
Na2 0.086 0.500 0.771 1
Na3 0.209 0.140 0.581 1
Sn1 0.000 0.310 0.500 1
# - formation enthalpy at 0 K (meV per atom) = -50


# KNaSn3, optimized geometry, DFT PBE
data_KNaSn3
_chemical_formula_sum 'K1 Na1 Sn3'
_cell_length_a 5.597
_cell_length_b 5.597
_cell_length_c 5.597
_cell_angle_alpha 90.00
_cell_angle_beta 90.00
_cell_angle_gamma 90.00
_space_group_name_H-M_alt 'P m -3 m'
_space_group_IT_number 221
_space_group_name_Hall '-P 4 2 3'
loop_
_atom_site_label
_atom_site_fract_x
_atom_site_fract_y
_atom_site_fract_z
_atom_site_occupancy
K1 0.000 0.000 0.000 1
Na1 0.500 0.500 0.500 1
Sn1 0.000 0.500 0.500 1
# - formation enthalpy at 0 K (meV per atom) = 323


# KNa4Sn, optimized geometry, DFT PBE
data_KNa4Sn
_chemical_formula_sum 'K2 Na8 Sn2'
_cell_length_a 6.808
_cell_length_b 6.626
_cell_length_c 9.543
_cell_angle_alpha 90.00
_cell_angle_beta 90.00
_cell_angle_gamma 90.00
_space_group_name_H-M_alt 'P m n 21'
_space_group_IT_number 31
_space_group_name_Hall 'P 2ac -2'
loop_
_atom_site_label
_atom_site_fract_x
_atom_site_fract_y
_atom_site_fract_z
_atom_site_occupancy
K1 0.000 0.244 0.000 1
Na1 0.000 0.494 0.627 1
Na2 0.000 0.777 0.270 1
Na3 0.248 0.204 0.379 1
Sn1 0.000 0.995 0.627 1
# - formation enthalpy at 0 K (meV per atom) = -91


# KNaSn, optimized geometry, DFT PBE
data_KNaSn
_chemical_formula_sum 'K2 Na2 Sn2'
_cell_length_a 4.097
_cell_length_b 4.097
_cell_length_c 12.665
_cell_angle_alpha 90.00
_cell_angle_beta 90.00
_cell_angle_gamma 90.00
_space_group_name_H-M_alt 'I 4 m m'
_space_group_IT_number 107
_space_group_name_Hall 'I 4 -2'
loop_
_atom_site_label
_atom_site_fract_x
_atom_site_fract_y
_atom_site_fract_z
_atom_site_occupancy
K1 0.000 0.000 0.000 1
Na1 0.000 0.000 0.292 1
Sn1 0.000 0.000 0.681 1
# - formation enthalpy at 0 K (meV per atom) = -68


# KNaSn, optimized geometry, DFT PBE
data_KNaSn
_chemical_formula_sum 'K1 Na1 Sn1'
_cell_length_a 5.7230
_cell_length_b 5.7230
_cell_length_c 3.4530
_cell_angle_alpha 90.00
_cell_angle_beta 90.00
_cell_angle_gamma 120.00
_space_group_name_H-M_alt 'P 3 m 1'
_space_group_IT_number 156
_space_group_name_Hall 'P 3 -2"'
loop_
_atom_site_label
_atom_site_fract_x
_atom_site_fract_y
_atom_site_fract_z
_atom_site_occupancy
K1 0.0000 0.0000 0.0000 1
Na1 0.3333 0.6667 0.2828 1
Sn1 0.6667 0.3333 0.5615 1
# - formation enthalpy at 0 K (meV per atom) = -88


# K2Na3Sn, optimized geometry, DFT PBE
data_K2Na3Sn
_chemical_formula_sum 'K4 Na6 Sn2'
_cell_length_a 11.734
_cell_length_b 6.944
_cell_length_c 6.861
_cell_angle_alpha 90.00
_cell_angle_beta 123.89
_cell_angle_gamma 90.00
_space_group_name_H-M_alt 'C 1 2/m 1'
_space_group_IT_number 12
_space_group_name_Hall '-C 2y'
loop_
_atom_site_label
_atom_site_fract_x
_atom_site_fract_y
_atom_site_fract_z
_atom_site_occupancy
K1 0.131 0.000 0.369 1
Na1 0.000 0.500 0.500 1
Na2 0.250 0.250 0.000 1
Sn1 0.000 0.500 0.000 1
# - formation enthalpy at 0 K (meV per atom) = -89


# KNa8Sn2, optimized geometry, DFT PBE
data_KNa8Sn2
_chemical_formula_sum 'K1 Na8 Sn2'
_cell_length_a 5.997
_cell_length_b 6.822
_cell_length_c 10.056
_cell_angle_alpha 108.58
_cell_angle_beta 106.47
_cell_angle_gamma 93.13
_space_group_name_H-M_alt 'P 1'
_space_group_IT_number 1
_space_group_name_Hall 'P 1'
loop_
_atom_site_label
_atom_site_fract_x
_atom_site_fract_y
_atom_site_fract_z
_atom_site_occupancy
K1 0.000 0.000 0.000 1
Na1 0.056 0.724 0.373 1
Na2 0.071 0.270 0.402 1
Na3 0.137 0.490 0.000 1
Na4 0.283 0.674 0.740 1
Na5 0.542 0.935 0.262 1
Na6 0.601 0.352 0.002 1
Na7 0.673 0.867 0.598 1
Na8 0.683 0.350 0.629 1
Sn1 0.202 0.140 0.694 1
Sn2 0.504 0.447 0.308 1
# - formation enthalpy at 0 K (meV per atom) = -73


# KNaSn3, optimized geometry, DFT PBE
data_KNaSn3
_chemical_formula_sum 'K4 Na4 Sn12'
_cell_length_a 6.930
_cell_length_b 14.951
_cell_length_c 6.298
_cell_angle_alpha 90.00
_cell_angle_beta 90.00
_cell_angle_gamma 90.00
_space_group_name_H-M_alt 'C m c m'
_space_group_IT_number 63
_space_group_name_Hall '-C 2c 2'
loop_
_atom_site_label
_atom_site_fract_x
_atom_site_fract_y
_atom_site_fract_z
_atom_site_occupancy
K1 0.000 0.097 0.250 1
Na1 0.000 0.500 0.000 1
Sn1 0.000 0.316 0.750 1
Sn2 0.212 0.329 0.250 1
# - formation enthalpy at 0 K (meV per atom) = -133


# KNa4Sn, optimized geometry, DFT PBE
data_KNa4Sn
_chemical_formula_sum 'K4 Na16 Sn4'
_cell_length_a 9.294
_cell_length_b 9.294
_cell_length_c 9.294
_cell_angle_alpha 90.00
_cell_angle_beta 90.00
_cell_angle_gamma 90.00
_space_group_name_H-M_alt 'F -4 3 m'
_space_group_IT_number 216
_space_group_name_Hall 'F -4 2 3'
loop_
_atom_site_label
_atom_site_fract_x
_atom_site_fract_y
_atom_site_fract_z
_atom_site_occupancy
K1 0.000 0.000 0.000 1
Na1 0.123 0.123 0.377 1
Sn1 0.250 0.250 0.750 1
# - formation enthalpy at 0 K (meV per atom) = 2


# KNaSn3, optimized geometry, DFT PBE
data_KNaSn3
_chemical_formula_sum 'K1 Na1 Sn3'
_cell_length_a 5.978
_cell_length_b 5.978
_cell_length_c 5.978
_cell_angle_alpha 90.00
_cell_angle_beta 90.00
_cell_angle_gamma 90.00
_space_group_name_H-M_alt 'P m -3 m'
_space_group_IT_number 221
_space_group_name_Hall '-P 4 2 3'
loop_
_atom_site_label
_atom_site_fract_x
_atom_site_fract_y
_atom_site_fract_z
_atom_site_occupancy
K1 0.000 0.000 0.000 1
Na1 0.500 0.500 0.500 1
Sn1 0.000 0.000 0.500 1
# - formation enthalpy at 0 K (meV per atom) = 822


# KNaSn, optimized geometry, DFT PBE
data_KNaSn
_chemical_formula_sum 'K4 Na4 Sn4'
_cell_length_a 7.759
_cell_length_b 7.760
_cell_length_c 8.887
_cell_angle_alpha 90.00
_cell_angle_beta 115.83
_cell_angle_gamma 90.00
_space_group_name_H-M_alt 'C 1 m 1'
_space_group_IT_number 8
_space_group_name_Hall 'C -2y'
loop_
_atom_site_label
_atom_site_fract_x
_atom_site_fract_y
_atom_site_fract_z
_atom_site_occupancy
K1 0.000 0.000 0.000 1
K2 0.136 0.500 0.272 1
Na1 0.069 0.250 0.636 1
Sn1 0.225 0.000 0.449 1
Sn2 0.412 0.000 0.823 1
# - formation enthalpy at 0 K (meV per atom) = -154


# K3Na7Sn2, optimized geometry, DFT PBE
data_K3Na7Sn2
_chemical_formula_sum 'K6 Na14 Sn4'
_cell_length_a 5.994
_cell_length_b 29.584
_cell_length_c 5.977
_cell_angle_alpha 90.00
_cell_angle_beta 90.00
_cell_angle_gamma 90.00
_space_group_name_H-M_alt 'C m m m'
_space_group_IT_number 65
_space_group_name_Hall '-C 2 2'
loop_
_atom_site_label
_atom_site_fract_x
_atom_site_fract_y
_atom_site_fract_z
_atom_site_occupancy
K1 0.000 0.000 0.000 1
K2 0.000 0.178 0.000 1
Na1 0.000 0.092 0.500 1
Na2 0.000 0.291 0.500 1
Na3 0.000 0.409 0.000 1
Na4 0.000 0.500 0.500 1
Sn1 0.000 0.395 0.500 1
# - formation enthalpy at 0 K (meV per atom) = -45